Record 1
A geometry-optimized Nd2Ga3PdAu12 structure, computed with PBE.

## Properties
**DFT total energy**: -0.1375 hartree per atom
**Magnetic moment**: 0.0 μB per cell
**N(E_F)**: 7.1 states/eV/f.u.

a = 6.4060 Å, b = 6.4060 Å, c = 33.2801 Å
α = 90.00°, β = 90.00°, γ = 120.00°
Space group R-3m (No. 166, hexagonal axes)
Asymmetric unit:
1 Nd 0.0000 0.0000 0.1396 [6 per cell]
2 Ga 0.0000 0.5000 0.0000 [9 per cell]
3 Pd 0.0000 0.0000 0.5000 [3 per cell]
4 Au 0.0260 0.5130 0.8864 [18 per cell]
5 Au 0.0424 0.5212 0.6165 [18 per cell]

---

Record 2
A geometry-optimized ReTe2Rh structure, computed with PBE.

## Properties
**Formation energy from raw total energies**: 41.5 kJ per mole of atoms
**Magnetic moment**: 1.0 μB per cell
**N(E_F)**: 4.9 states/eV/f.u.

a = 3.383 Å, b = 3.878 Å, c = 14.374 Å
α = 90.00°, β = 90.00°, γ = 90.00°
Space group Imm2 (No. 44)
Asymmetric unit:
1 Re 0.000 0.000 0.000 [2 per cell]
2 Te 0.000 0.000 0.413 [2 per cell]
3 Te 0.000 0.500 0.666 [2 per cell]
4 Rh 0.000 0.500 0.122 [2 per cell]

---

Record 3
A geometry-optimized NbRh4 structure, computed with PBE.

## Properties
**DFT total energy**: -0.2987 hartree per atom
**Magnetic moment**: 0.0 μB per cell
**N(E_F)**: 5.7 states/eV/f.u.

a = 9.153 Å, b = 2.764 Å, c = 6.775 Å
α = 90.00°, β = 119.58°, γ = 90.00°
Space group C2/m (No. 12)
Asymmetric unit:
1 Nb 0.000 0.000 0.000 [2 per cell]
2 Rh 0.103 0.500 0.406 [4 per cell]
3 Rh 0.199 0.000 0.803 [4 per cell]

---

Record 4
A geometry-optimized NbRu3N structure, computed with PBE.

## Properties
**Formation energy from raw total energies**: 3.2 kJ per mole of atoms
**Magnetic moment**: 0.0 μB per cell
**N(E_F)**: 5.5 states/eV/f.u.

a = 4.058 Å, b = 4.058 Å, c = 4.058 Å
α = 90.00°, β = 90.00°, γ = 90.00°
Space group Pm-3m (No. 221)
Asymmetric unit:
1 Nb 0.000 0.000 0.000 [1 per cell]
2 Ru 0.000 0.500 0.500 [3 per cell]
3 N 0.500 0.500 0.500 [1 per cell]

---

Record 5
A geometry-optimized RbTl2V structure, computed with PBE.

## Properties
**DFT total energy**: -0.1145 hartree per atom
**Magnetic moment**: 14.9 μB per cell
**N(E_F)**: 4.2 states/eV/f.u.

a = 6.231 Å, b = 6.231 Å, c = 18.299 Å
α = 90.00°, β = 90.00°, γ = 90.00°
Space group I-42d (No. 122)
Asymmetric unit:
1 Rb 0.000 0.000 0.000 [4 per cell]
2 Tl 0.001 0.750 0.625 [8 per cell]
3 V 0.000 0.000 0.500 [4 per cell]

---

Record 6
A geometry-optimized HgAs2Br structure, computed with PBE.

## Properties
**Formation energy from raw total energies**: 27.1 kJ per mole of atoms
**Magnetic moment**: 0.0 μB per cell
**N(E_F)**: 1.9 states/eV/f.u.

a = 4.1562 Å, b = 4.1562 Å, c = 20.1150 Å
α = 90.00°, β = 90.00°, γ = 120.00°
Space group R-3m (No. 166, hexagonal axes)
Asymmetric unit:
1 Hg 0.0000 0.0000 0.0000 [3 per cell]
2 As 0.0000 0.0000 0.2706 [6 per cell]
3 Br 0.0000 0.0000 0.5000 [3 per cell]